Below is Ca2SiAsPt after structural relaxation, with properties calculated at the PBE-GGA level.

Properties
E: -4.14 eV per atom
Formation energy from raw total energies: -0.116 eV/atom
Total magnetic moment: 0.000 μB/f.u.
Crystal system: tetragonal
Volume: 139 Å³/f.u.

Cell: 5.474 5.474 4.628 Å, 90.00 90.00 90.00°
Space group P4/mmm (No. 123)
Unique sites:
Ca 0.000 0.500 0.000 x2
Si 0.000 0.000 0.500 x1
As 0.500 0.500 0.000 x1
Pt 0.500 0.500 0.500 x1

Below is CaSmAsPt after structural relaxation, with properties calculated at the PBE-GGA level.

Properties
Formation enthalpy at 0 K: -1.041 eV per atom
E: -5.39 eV per atom
Total magnetic moment: 0.000 μB/f.u.
Crystal system: cubic
Volume: 92 Å³/f.u.

Cell: 7.168 7.168 7.168 Å, 90.00 90.00 90.00°
Space group F-43m (No. 216)
Unique sites:
Ca 0.000 0.000 0.000 x4
Sm 0.000 0.000 0.500 x4
As 0.250 0.250 0.750 x4
Pt 0.250 0.250 0.250 x4

Below is Ca2SnAs3Pt4 after structural relaxation, with properties calculated at the PBE-GGA level.

Properties
Formation enthalpy at 0 K: -0.717 eV per atom
E: -5.33 eV per atom
Total magnetic moment: 0.000 μB/f.u.
Crystal system: tetragonal
Volume: 204 Å³/f.u.

Cell: 4.358 4.358 10.739 Å, 90.00 90.00 90.00°
Space group P-4m2 (No. 115)
Unique sites:
Ca 0.000 0.500 0.233 x2
Sn 0.000 0.000 0.500 x1
As 0.000 0.500 0.872 x2
As 0.500 0.500 0.500 x1
Pt 0.000 0.000 0.000 x1
Pt 0.000 0.500 0.645 x2
Pt 0.500 0.500 0.000 x1

Below is Sr2CaAs3Pt4 after structural relaxation, with properties calculated at the PBE-GGA level.

Properties
Formation enthalpy at 0 K: -0.817 eV per atom
E: -5.16 eV per atom
Total magnetic moment: 0.000 μB/f.u.
Crystal system: tetragonal
Volume: 217 Å³/f.u.

Cell: 4.417 4.417 11.106 Å, 90.00 90.00 90.00°
Space group P-4m2 (No. 115)
Unique sites:
Sr 0.000 0.500 0.229 x2
Ca 0.000 0.000 0.500 x1
As 0.000 0.500 0.880 x2
As 0.500 0.500 0.500 x1
Pt 0.000 0.000 0.000 x1
Pt 0.000 0.500 0.659 x2
Pt 0.500 0.500 0.000 x1